A plane-wave DFT calculation with PBEsol was carried out for NiPb2Se after structural relaxation.

a b c (Å): 5.9828 5.9828 5.9828
angles (deg): 148.47 125.34 64.48
With the nearest neighbours (Å) after each atom.
Fractional positions:
Ni (0.0000, 0.0000, 0.0000)  2 Se 2.29
Pb (0.4875, 0.4875, 0.0000)  4 Ni 3.19, 6 Pb 3.25-3.46, 2 Se 3.25
Pb (0.7790, 0.2790, 0.5000)  2 Ni 2.76
Se (0.1595, 0.6595, 0.5000)  2 Ni 2.29

Results
M_tot: 0.00 μB/f.u.
DOS at the Fermi energy: 0.495 states/eV per atom
formation energy (no corrections): 0.001 eV/atom